{"formula": "Zn2PbSe", "functional": "GGA-PBE", "state": "optimized geometry", "cell": [[3.4877, 0.0000, 0.0000], [0.0000, 3.4877, 0.0000], [0.0000, 0.0000, 7.1328]], "species": ["Se", "Zn", "Zn", "Pb"], "frac_coords": [[0.5000, 0.5000, 0.7500], [0.0000, 0.0000, 0.9471], [0.0000, 0.0000, 0.5529], [0.5000, 0.5000, 0.2500]], "raw_formation_energy_ev_per_atom": 0.045, "sg": "P4/mmm", "polymorph_energy_mev_per_atom": 189, "n_ef_per_ev_fu": 1.51}

=====

{"formula": "ZnPbSe2", "functional": "GGA-PBE", "state": "optimized geometry", "cell": [[6.1247, -0.0015, -0.3107], [3.2709, 5.1782, 0.3107], [-4.5706, -2.8192, 2.9615]], "species": ["Se", "Se", "Pb", "Zn"], "frac_coords": [[0.5001, 0.5001, 0.0000], [0.9999, 0.9999, 0.0000], [0.2500, 0.7500, 0.5000], [0.7500, 0.2500, 0.5000]], "raw_formation_energy_ev_per_atom": 0.135, "sg": "Immm", "n_ef_per_ev_fu": 1.43}